The following is a PBE-GGA calculation of a relaxed structure of Nd2BeGe3Pt4, from Alexandria.

Lattice parameters (Å, degrees): 4.2969 4.2969 10.0920 90.00 90.00 90.00
Sites, in units of the cell vectors:
Nd: 0.0000 0.5000 0.2403
Nd: 0.5000 0.0000 0.7597
Be: 0.5000 0.5000 0.0000
Ge: 0.0000 0.0000 0.0000
Ge: 0.0000 0.5000 0.6371
Ge: 0.5000 0.0000 0.3629
Pt: 0.0000 0.0000 0.5000
Pt: 0.0000 0.5000 0.8812
Pt: 0.5000 0.0000 0.1188
Pt: 0.5000 0.5000 0.5000

Summary:
Energy of formation from the pure elements, meV per atom: -910.4
Space-group type: P-4m2 (115)

The following is a PBE-GGA calculation of a relaxed structure of Pr3Er2Tm6, from Alexandria.

Lattice parameters (Å, degrees): 16.8970 16.8970 16.8970 163.91 163.91 22.84
Sites, in units of the cell vectors:
Pr: 0.0000 0.0000 0.0000
Pr: 0.2055 0.2055 0.0000
Pr: 0.7945 0.7945 0.0000
Er: 0.4535 0.4535 0.0000
Er: 0.5465 0.5465 0.0000
Tm: 0.1203 0.6203 0.5000
Tm: 0.3094 0.3094 0.0000
Tm: 0.3797 0.8797 0.5000
Tm: 0.6203 0.1203 0.5000
Tm: 0.6906 0.6906 0.0000
Tm: 0.8797 0.3797 0.5000

Summary:
Energy of formation from the pure elements, meV per atom: 276.6
Space-group type: I4/mmm (139)
Excess energy over the best structure of this formula in the dataset, eV/f.u.: 0.71

The following is a PBE-GGA calculation of a relaxed structure of TmGa2Pd, from Alexandria.

Lattice parameters (Å, degrees): 3.2741 3.2741 6.8009 90.00 90.00 90.00
Sites, in units of the cell vectors:
Tm: 0.0000 0.0000 0.0000
Ga: 0.5000 0.5000 0.2938
Ga: 0.5000 0.5000 0.7062
Pd: 0.0000 0.0000 0.5000

Summary:
Energy of formation from the pure elements, meV per atom: -589.1
Space-group type: P4/mmm (123)

The following is a PBE-GGA calculation of a relaxed structure of YZr2Se, from Alexandria.

Lattice parameters (Å, degrees): 6.0244 6.0244 6.0244 147.16 125.49 65.11
Sites, in units of the cell vectors:
Y: 0.0000 0.0000 0.0000
Zr: 0.2888 0.7888 0.5000
Zr: 0.5531 0.5531 0.0000
Se: 0.7648 0.2648 0.5000

Summary:
Space-group type: Imm2 (44)
Raw formation energy, eV/atom: -0.353

The following is a PBE-GGA calculation of a relaxed structure of CeTlAgI6, from Alexandria.

Lattice parameters (Å, degrees): 7.7936 7.7936 15.4301 90.00 90.00 120.00
Sites, in units of the cell vectors:
Ce: 0.3333 0.6667 0.2500
Ce: 0.6667 0.3333 0.7500
Tl: 0.0000 0.0000 0.0000
Tl: 0.0000 0.0000 0.5000
Ag: 0.3333 0.6667 0.7500
Ag: 0.6667 0.3333 0.2500
I: 0.0027 0.3614 0.1356
I: 0.0027 0.6413 0.3644
I: 0.3587 0.3614 0.3644
I: 0.3587 0.9973 0.1356
I: 0.3614 0.0027 0.6356
I: 0.3614 0.3587 0.8644
I: 0.6386 0.6413 0.1356
I: 0.6386 0.9973 0.3644
I: 0.6413 0.0027 0.8644
I: 0.6413 0.6386 0.6356
I: 0.9973 0.3587 0.6356
I: 0.9973 0.6386 0.8644

Summary:
Space-group type: P-31c (163)
Raw formation energy, eV/atom: -0.818

The following is a PBE-GGA calculation of a relaxed structure of Sm4DyTm15, from Alexandria.

Lattice parameters (Å, degrees): 4.9772 4.9772 24.8265 90.00 90.00 90.00
Sites, in units of the cell vectors:
Sm: 0.0000 0.0000 0.1003
Sm: 0.0000 0.0000 0.3005
Sm: 0.0000 0.0000 0.6995
Sm: 0.0000 0.0000 0.8997
Dy: 0.0000 0.0000 0.5000
Tm: 0.0000 0.5000 0.0000
Tm: 0.0000 0.5000 0.2005
Tm: 0.0000 0.5000 0.4010
Tm: 0.0000 0.5000 0.5990
Tm: 0.0000 0.5000 0.7995
Tm: 0.5000 0.0000 0.0000
Tm: 0.5000 0.0000 0.2005
Tm: 0.5000 0.0000 0.4010
Tm: 0.5000 0.0000 0.5990
Tm: 0.5000 0.0000 0.7995
Tm: 0.5000 0.5000 0.1001
Tm: 0.5000 0.5000 0.3008
Tm: 0.5000 0.5000 0.5000
Tm: 0.5000 0.5000 0.6992
Tm: 0.5000 0.5000 0.8999

Summary:
Energy of formation from the pure elements, meV per atom: 25.7
Space-group type: P4/mmm (123)

The following is a PBE-GGA calculation of a relaxed structure of NaTi2P2, from Alexandria.

Lattice parameters (Å, degrees): 5.6018 5.6018 5.6018 130.32 130.32 72.89
Sites, in units of the cell vectors:
Na: 0.0000 0.0000 0.0000
Ti: 0.3268 0.3268 0.0000
Ti: 0.6732 0.6732 0.0000
P: 0.2500 0.7500 0.5000
P: 0.7500 0.2500 0.5000

Summary:
Energy of formation from the pure elements, meV per atom: -365.8
Space-group type: I4/mmm (139)
Excess energy over the best structure of this formula in the dataset, eV/f.u.: 1.46

The following is a PBE-GGA calculation of a relaxed structure of Sr3AgRh, from Alexandria.

Lattice parameters (Å, degrees): 9.7059 7.9936 8.9193 90.00 106.90 90.00
Sites, in units of the cell vectors:
Sr: 0.0440 0.0202 0.2132
Sr: 0.0440 0.4798 0.7132
Sr: 0.2661 0.6533 0.0999
Sr: 0.2661 0.8467 0.5999
Sr: 0.3352 0.1867 0.9741
Sr: 0.3352 0.3133 0.4741
Sr: 0.6648 0.6867 0.5259
Sr: 0.6648 0.8133 0.0259
Sr: 0.7339 0.1533 0.4001
Sr: 0.7339 0.3467 0.9001
Sr: 0.9560 0.5202 0.2868
Sr: 0.9560 0.9798 0.7868
Ag: 0.4207 0.5370 0.8257
Ag: 0.4207 0.9630 0.3257
Ag: 0.5793 0.0370 0.6743
Ag: 0.5793 0.4630 0.1743
Rh: 0.0679 0.1574 0.5362
Rh: 0.0679 0.3426 0.0362
Rh: 0.9321 0.6574 0.9638
Rh: 0.9321 0.8426 0.4638

Summary:
Energy of formation from the pure elements, meV per atom: -238.9
Space-group type: P2_1/c (14)
Excess energy over the best structure of this formula in the dataset, eV/f.u.: 0.00

The following is a PBE-GGA calculation of a relaxed structure of Ac2As4Au, from Alexandria.

Lattice parameters (Å, degrees): 4.2829 4.2829 10.2460 90.00 90.00 90.00
Sites, in units of the cell vectors:
Ac: 0.0000 0.5000 0.2468
Ac: 0.5000 0.0000 0.7532
As: 0.0000 0.0000 0.0000
As: 0.0000 0.5000 0.6432
As: 0.5000 0.0000 0.3568
As: 0.5000 0.5000 0.0000
Au: 0.0000 0.0000 0.5000

Summary:
Energy of formation from the pure elements, meV per atom: -781.4
Space-group type: P-4m2 (115)

The following is a PBE-GGA calculation of a relaxed structure of NaIn2AsO, from Alexandria.

Lattice parameters (Å, degrees): 4.7679 4.7679 4.3334 90.00 90.00 90.00
Sites, in units of the cell vectors:
Na: 0.0000 0.0000 0.0000
In: 0.0000 0.5000 0.5000
In: 0.5000 0.0000 0.5000
As: 0.5000 0.5000 0.0000
O: 0.0000 0.0000 0.5000

Summary:
Space-group type: P4/mmm (123)
Raw formation energy, eV/atom: -0.492

The following is a PBE-GGA calculation of a relaxed structure of Mn3AsPb, from Alexandria.

Lattice parameters (Å, degrees): 4.6753 4.6753 4.6753 90.00 90.00 90.00
Sites, in units of the cell vectors:
Mn: 0.0000 0.0000 0.5000
Mn: 0.0000 0.5000 0.0000
Mn: 0.5000 0.0000 0.0000
As: 0.0000 0.0000 0.0000
Pb: 0.5000 0.5000 0.5000

Summary:
Energy of formation from the pure elements, meV per atom: 416.3
Space-group type: Pm-3m (221)
Excess energy over the best structure of this formula in the dataset, eV/f.u.: 0.00

The following is a PBE-GGA calculation of a relaxed structure of TbSm2Cu3, from Alexandria.

Lattice parameters (Å, degrees): 4.9968 4.9968 6.0940 90.00 90.00 120.00
Sites, in units of the cell vectors:
Tb: 0.0000 0.0000 0.0000
Sm: 0.3333 0.6667 0.6689
Sm: 0.6667 0.3333 0.3311
Cu: 0.0000 0.0000 0.5000
Cu: 0.3333 0.6667 0.1621
Cu: 0.6667 0.3333 0.8379

Summary:
Energy of formation from the pure elements, meV per atom: -198.6
Space-group type: P-3m1 (164)
Excess energy over the best structure of this formula in the dataset, eV/f.u.: 0.02

The following is a PBE-GGA calculation of a relaxed structure of AcCe2, from Alexandria.

Lattice parameters (Å, degrees): 8.0186 8.0186 8.0186 154.15 154.15 36.88
Sites, in units of the cell vectors:
Ac: 0.0000 0.0000 0.0000
Ce: 0.3220 0.3220 0.0000
Ce: 0.6780 0.6780 0.0000

Summary:
Energy of formation from the pure elements, meV per atom: 159.1
Space-group type: I4/mmm (139)
Excess energy over the best structure of this formula in the dataset, eV/f.u.: 0.00

The following is a PBE-GGA calculation of a relaxed structure of PuHfZr, from Alexandria.

Lattice parameters (Å, degrees): 5.0561 5.0561 3.1374 90.00 90.00 120.00
Sites, in units of the cell vectors:
Pu: 0.0000 0.0000 0.0000
Hf: 0.6667 0.3333 0.5000
Zr: 0.3333 0.6667 0.0000

Summary:
Energy of formation from the pure elements, meV per atom: 68.6
Space-group type: P-6m2 (187)
Excess energy over the best structure of this formula in the dataset, eV/f.u.: 0.00

The following is a PBE-GGA calculation of a relaxed structure of ThCoPb, from Alexandria.

Lattice parameters (Å, degrees): 5.3461 5.3461 6.3902 114.66 114.66 89.86
Sites, in units of the cell vectors:
Th: 0.0000 0.0000 0.0000
Th: 0.5003 0.5003 0.0008
Co: 0.0005 0.5006 0.0004
Co: 0.5006 0.0005 0.0004
Pb: 0.2694 0.7268 0.5004
Pb: 0.7268 0.2694 0.5004

Summary:
Energy of formation from the pure elements, meV per atom: -259.9
Space-group type: Cm (8)

The following is a PBE-GGA calculation of a relaxed structure of Tb4Ir2Pd, from Alexandria.

Lattice parameters (Å, degrees): 7.5184 7.5184 7.5184 109.43 109.43 109.55
Sites, in units of the cell vectors:
Tb: 0.0035 0.3831 0.2513
Tb: 0.1318 0.7522 0.7487
Tb: 0.1331 0.2535 0.7513
Tb: 0.2478 0.9965 0.3796
Tb: 0.5022 0.3818 0.2487
Tb: 0.6169 0.8682 0.6204
Tb: 0.6182 0.8669 0.1204
Tb: 0.7465 0.4978 0.8796
Ir: 0.2448 0.6250 0.1198
Ir: 0.3750 0.4948 0.6198
Ir: 0.5052 0.1250 0.8802
Ir: 0.8750 0.7552 0.3802
Pd: 0.0000 0.0000 0.0000
Pd: 0.7500 0.2500 0.5000

Summary:
Energy of formation from the pure elements, meV per atom: -780.1
Space-group type: I-42d (122)
Excess energy over the best structure of this formula in the dataset, eV/f.u.: 0.27

The following is a PBE-GGA calculation of a relaxed structure of ZrIn3H, from Alexandria.

Lattice parameters (Å, degrees): 5.7114 5.7114 5.7114 90.00 90.00 90.00
Sites, in units of the cell vectors:
Zr: 0.0000 0.0000 0.0000
In: 0.0000 0.0000 0.5000
In: 0.0000 0.5000 0.0000
In: 0.5000 0.0000 0.0000
H: 0.5000 0.5000 0.5000

Summary:
Space-group type: Pm-3m (221)
Excess energy over the best structure of this formula in the dataset, eV/f.u.: 4.88

The following is a PBE-GGA calculation of a relaxed structure of TbNd2Tc, from Alexandria.

Lattice parameters (Å, degrees): 6.3901 6.3901 9.4615 90.00 90.00 143.48
Sites, in units of the cell vectors:
Tb: 0.0782 0.9218 0.7500
Tb: 0.9218 0.0782 0.2500
Nd: 0.3584 0.6416 0.5687
Nd: 0.3584 0.6416 0.9313
Nd: 0.6416 0.3584 0.0687
Nd: 0.6416 0.3584 0.4313
Tc: 0.2612 0.7388 0.2500
Tc: 0.7388 0.2612 0.7500

Summary:
Energy of formation from the pure elements, meV per atom: -3.6
Space-group type: Cmcm (63)
Excess energy over the best structure of this formula in the dataset, eV/f.u.: 0.00

The following is a PBE-GGA calculation of a relaxed structure of PaMnTe4, from Alexandria.

Lattice parameters (Å, degrees): 8.5245 8.5245 6.9253 108.02 108.02 117.35
Sites, in units of the cell vectors:
Pa: 0.1309 0.8691 0.7500
Pa: 0.8691 0.1309 0.2500
Mn: 0.4210 0.5790 0.2500
Mn: 0.5790 0.4210 0.7500
Te: 0.1445 0.5750 0.3660
Te: 0.2146 0.2835 0.7591
Te: 0.2835 0.2146 0.2591
Te: 0.4250 0.8555 0.1340
Te: 0.5750 0.1445 0.8660
Te: 0.7165 0.7854 0.7409
Te: 0.7854 0.7165 0.2409
Te: 0.8555 0.4250 0.6340

Summary:
Space-group type: C2/c (15)
Raw formation energy, eV/atom: -0.487

The following is a PBE-GGA calculation of a relaxed structure of LiTbTh2Te4, from Alexandria.

Lattice parameters (Å, degrees): 7.2870 4.1950 8.1321 90.00 107.02 90.00
Sites, in units of the cell vectors:
Li: 0.0000 0.0000 0.0000
Tb: 0.5000 0.5000 0.0000
Th: 0.0000 0.5000 0.5000
Th: 0.5000 0.0000 0.5000
Te: 0.2354 0.5000 0.2288
Te: 0.2456 0.0000 0.7687
Te: 0.7544 0.0000 0.2313
Te: 0.7646 0.5000 0.7712

Summary:
Space-group type: P2/m (10)
Raw formation energy, eV/atom: -1.142

Number 1: ρ 11.547 g/cm³, calculated total energy -6.04 eV per atom. Number 2: ρ 7.933 g/cm³, calculated total energy -4.30 eV per atom. Number 3: ρ 9.448 g/cm³, calculated total energy -4.52 eV per atom. Number 4: ρ 6.096 g/cm³, calculated total energy -7.11 eV per atom. Number 5: ρ 4.966 g/cm³, calculated total energy -3.09 eV per atom. Number 6: ρ 8.905 g/cm³, calculated total energy -4.50 eV per atom. Number 7: ρ 3.006 g/cm³, calculated total energy -5.95 eV per atom. Number 8: ρ 4.751 g/cm³, calculated total energy -3.29 eV per atom. Number 9: ρ 8.399 g/cm³, calculated total energy -5.08 eV per atom. Number 10: ρ 5.791 g/cm³, calculated total energy -3.77 eV per atom. Number 11: ρ 7.262 g/cm³, calculated total energy -6.76 eV per atom. Number 12: ρ 8.195 g/cm³, calculated total energy -4.59 eV per atom. Number 13: ρ 8.604 g/cm³, calculated total energy -5.17 eV per atom. Number 14: ρ 12.281 g/cm³, calculated total energy -10.88 eV per atom. Number 15: ρ 11.214 g/cm³, calculated total energy -6.34 eV per atom. Number 16: ρ 11.436 g/cm³, calculated total energy -6.70 eV per atom. Number 17: ρ 3.892 g/cm³, calculated total energy -3.00 eV per atom. Number 18: ρ 7.879 g/cm³, calculated total energy -6.14 eV per atom. Number 19: ρ 7.363 g/cm³, calculated total energy -5.69 eV per atom. Number 20: ρ 7.966 g/cm³, calculated total energy -5.39 eV per atom.